Record 1
VASP calculation (GGA-PBE) on an optimized crystal structure of Be4ReW.

The value obtained for the total magnetization is 0.000 Bohr magnetons per cell.

a b c (Å): 6.247 6.247 6.247
angles (deg): 90.00 90.00 90.00
Space group F-43m (No. 216)
Inequivalent atoms, fractional coordinates:
Be 0.124 0.124 0.376
Re 0.000 0.000 0.000
W 0.250 0.250 0.750

Record 2
VASP calculation (GGA-PBE) on an optimized crystal structure of Be2ReW.

The value obtained for the total magnetization is 0.000 Bohr magnetons per cell. The energy above the most stable polymorph in this dataset is 359 meV per atom.

a b c (Å): 3.017 3.017 5.242
angles (deg): 90.00 90.00 90.00
Space group P4/mmm (No. 123)
Inequivalent atoms, fractional coordinates:
Be 0.000 0.000 0.228
Re 0.500 0.500 0.000
W 0.500 0.500 0.500

Record 3
VASP calculation (GGA-PBE) on an optimized crystal structure of BeReW.

The value obtained for the total magnetization is 0.000 Bohr magnetons per cell. The energy above the most stable polymorph in this dataset is 818 meV per atom.

a b c (Å): 5.532 5.532 5.532
angles (deg): 90.00 90.00 90.00
Space group F-43m (No. 216)
Inequivalent atoms, fractional coordinates:
Be 0.000 0.000 0.000
Re 0.250 0.250 0.250
W 0.250 0.250 0.750

Record 4
VASP calculation (GGA-PBE) on an optimized crystal structure of Be2ReW2.

The value obtained for the total magnetization is 0.000 Bohr magnetons per cell. The energy above the most stable polymorph in this dataset is 791 meV per atom.

a b c (Å): 7.228 7.228 2.583
angles (deg): 90.00 90.00 90.00
Space group P4/mbm (No. 127)
Inequivalent atoms, fractional coordinates:
Be 0.172 0.328 0.000
Re 0.000 0.000 0.500
W 0.126 0.626 0.500

The evaluated total DFT energy (no corrections) for the records listed, in turn: -7.10, -8.07, -9.08, -8.57 eV per atom.
The evaluated energy relative to the elements for the records listed, in turn: -36.6, 13.9, 60.5, 57.2 kJ/mol of atoms.